Record 1
Density functional theory data (PBE) for a geometry-optimized NdPa2Se4 structure.

Structure (extended XYZ):
```
14
Lattice="-4.627 4.627 4.514 4.627 -4.627 4.514 4.627 4.627 -4.514" Properties=species:S:1:pos:R:3 pbc="T T T"
Nd 0.000 0.000 0.000
Nd 0.000 4.627 2.257
Pa 2.314 4.614 -1.128
Pa 4.640 2.314 1.128
Pa 2.314 0.013 3.385
Pa -0.013 2.314 5.642
Se 6.355 -0.011 0.516
Se 2.899 0.011 0.516
Se 4.639 2.899 -1.741
Se 4.616 -1.728 3.998
Se -0.011 1.728 2.773
Se 4.639 1.728 3.998
Se 2.899 4.616 1.741
Se 1.728 0.011 6.254
```

Output
Formation energy (no corrections) (eV/atom): -1.32
Fermi-level density of states (states/eV/f.u.): 7.73
Symmetry: No. 122
VASP energy (eV per cell): -93.8
Energy above the most stable polymorph in this dataset (eV/atom): 0.087

Record 2
Density functional theory data (PBE) for a geometry-optimized TiAs2W structure.

Structure (extended XYZ):
```
8
Lattice="-2.847 2.847 5.825 2.847 -2.847 5.825 2.847 2.847 -5.825" Properties=species:S:1:pos:R:3 pbc="T T T"
Ti 0.000 0.000 0.000
Ti 0.000 2.847 2.912
As 1.424 -1.372 4.368
As 1.475 1.424 1.456
As 1.424 4.220 -1.456
As 1.372 1.424 7.281
W 2.847 0.000 2.912
W 0.000 0.000 5.825
```

Output
Fermi-level density of states (states/eV/f.u.): 4.97
Symmetry: No. 122
VASP energy (eV per cell): -57.2
Energy above the most stable polymorph in this dataset (eV/atom): 0.625
DFT formation energy (eV per atom): 0.39

Record 3
Density functional theory data (PBE) for a geometry-optimized TlAgPd2Pt structure.

Structure (extended XYZ):
```
5
Lattice="4.978 0.000 0.000 0.000 4.978 0.000 0.000 0.000 5.111" Properties=species:S:1:pos:R:3 pbc="T T T"
Tl 0.000 0.000 0.000
Ag 2.489 2.489 0.000
Pd 0.000 2.489 2.556
Pd 2.489 0.000 2.556
Pt 2.489 2.489 2.556
```

Output
Fermi-level density of states (states/eV/f.u.): 6.32
Symmetry: No. 123
VASP energy (eV per cell): -18.2
DFT formation energy (eV per atom): 0.68

Record 4
Density functional theory data (PBE) for a geometry-optimized Pr3Ho structure.

Structure (extended XYZ):
```
4
Lattice="5.183 0.000 0.000 0.000 5.183 0.000 0.000 0.000 5.183" Properties=species:S:1:pos:R:3 pbc="T T T"
Pr 0.000 0.000 2.592
Pr 0.000 2.592 0.000
Pr 2.592 0.000 0.000
Ho 2.592 2.592 2.592
```

Output
Fermi-level density of states (states/eV/f.u.): 6.61
Symmetry: No. 221
VASP energy (eV per cell): -18.9
Energy above the most stable polymorph in this dataset (eV/atom): 0.000
DFT formation energy (eV per atom): 0.01

Record 5
Density functional theory data (PBE) for a geometry-optimized NbBrCl3 structure.

Structure (extended XYZ):
```
20
Lattice="6.856 0.000 0.000 0.000 6.878 0.000 0.000 0.000 13.871" Properties=species:S:1:pos:R:3 pbc="T T T"
Nb 0.000 0.000 0.000
Nb 0.000 3.439 0.000
Nb 3.428 0.000 6.936
Nb 3.428 3.439 6.936
Br 1.528 1.719 1.326
Br 1.900 5.158 8.262
Br 4.955 1.719 5.609
Br 5.328 5.158 12.545
Cl 1.379 5.158 1.189
Cl 1.521 0.005 12.114
Cl 1.521 3.434 12.114
Cl 1.907 3.443 5.178
Cl 1.907 6.873 5.178
Cl 2.048 1.719 8.124
Cl 4.807 5.158 5.747
Cl 4.949 0.005 8.693
Cl 4.949 3.434 8.693
Cl 5.335 3.443 1.757
Cl 5.335 6.873 1.757
Cl 5.476 1.719 12.682
```

Output
Formation energy (no corrections) (eV/atom): -1.13
Fermi-level density of states (states/eV/f.u.): 0.79
Symmetry: No. 62
VASP energy (eV per cell): -91.8
Energy above the most stable polymorph in this dataset (eV/atom): 0.000

Record 6
Density functional theory data (PBE) for a geometry-optimized Fe2OsPt structure.

Structure (extended XYZ):
```
4
Lattice="2.675 0.000 0.000 0.000 3.687 0.000 0.000 0.000 5.346" Properties=species:S:1:pos:R:3 pbc="T T T"
Fe 0.000 0.000 0.000
Fe 1.338 1.844 1.310
Os 0.000 0.000 2.426
Pt 1.338 1.844 3.987
```

Output
Fermi-level density of states (states/eV/f.u.): 4.10
Symmetry: No. 25
VASP energy (eV per cell): -34.0
Energy above the most stable polymorph in this dataset (eV/atom): 0.061
DFT formation energy (eV per atom): 0.06

Record 7
Density functional theory data (PBE) for a geometry-optimized La3As2 structure.

Structure (extended XYZ):
```
10
Lattice="3.696 2.134 7.109 -3.696 2.134 7.109 0.000 -4.268 7.109" Properties=species:S:1:pos:R:3 pbc="T T T"
La -2.487 -0.039 8.886
La -1.209 -2.173 12.441
La 1.277 -2.134 8.886
La -1.277 2.134 12.441
La 1.209 2.173 8.886
La 2.487 0.039 12.441
As 0.000 0.000 3.465
As 0.000 0.000 7.198
As 0.000 0.000 14.129
As 0.000 0.000 17.862
```

Output
Fermi-level density of states (states/eV/f.u.): 6.24
Symmetry: No. 167
VASP energy (eV per cell): -59.5
Energy above the most stable polymorph in this dataset (eV/atom): 0.000
DFT formation energy (eV per atom): -1.14

Record 8
Density functional theory data (PBE) for a geometry-optimized ZrCo2W2 structure.

Structure (extended XYZ):
```
5
Lattice="-1.954 1.954 5.375 1.954 -1.954 5.375 1.954 1.954 -5.375" Properties=species:S:1:pos:R:3 pbc="T T T"
Zr 0.000 0.000 0.000
Co 1.954 0.000 2.687
Co 0.000 1.954 2.687
W 0.000 0.000 4.093
W 0.000 0.000 6.656
```

Output
Fermi-level density of states (states/eV/f.u.): 4.48
Symmetry: No. 139
VASP energy (eV per cell): -47.0
Energy above the most stable polymorph in this dataset (eV/atom): 0.230
DFT formation energy (eV per atom): 0.34

Record 9
Density functional theory data (PBE) for a geometry-optimized RbSN6 structure.

Structure (extended XYZ):
```
8
Lattice="2.652 -4.752 0.000 2.652 4.752 0.000 -2.548 0.000 5.816" Properties=species:S:1:pos:R:3 pbc="T T T"
Rb 0.000 0.000 0.000
S -1.274 0.000 2.908
N 0.657 1.688 1.862
N 0.070 0.000 4.788
N 0.657 -1.688 1.862
N 2.099 1.688 3.953
N 2.686 0.000 1.027
N 2.099 -1.688 3.953
```

Output
Formation energy (no corrections) (eV/atom): 3.60
Fermi-level density of states (states/eV/f.u.): 4.12
Symmetry: No. 12
VASP energy (eV per cell): -26.2

Record 10
Density functional theory data (PBE) for a geometry-optimized CaY2TiNb structure.

Structure (extended XYZ):
```
5
Lattice="5.313 0.000 0.000 0.000 5.313 0.000 0.000 0.000 4.682" Properties=species:S:1:pos:R:3 pbc="T T T"
Ca 0.000 0.000 0.000
Y 0.000 2.656 0.000
Y 2.656 0.000 0.000
Ti 0.000 0.000 2.341
Nb 2.656 2.656 2.341
```

Output
Fermi-level density of states (states/eV/f.u.): 10.36
Symmetry: No. 123
VASP energy (eV per cell): -24.7
DFT formation energy (eV per atom): 1.64

Record 11
Density functional theory data (PBE) for a geometry-optimized TbGaSiNi3 structure.

Structure (extended XYZ):
```
12
Lattice="3.091 -5.683 0.000 3.091 5.683 0.000 0.000 0.000 5.384" Properties=species:S:1:pos:R:3 pbc="T T T"
Tb 3.091 3.292 4.038
Tb 3.091 -3.292 1.346
Ga 3.091 0.441 4.038
Ga 3.091 -0.441 1.346
Si 3.091 4.227 1.346
Si 3.091 -4.227 4.038
Ni 1.216 0.000 0.000
Ni 1.216 0.000 2.692
Ni 3.091 1.955 1.346
Ni 3.091 -1.955 4.038
Ni 4.966 0.000 0.000
Ni 4.966 0.000 2.692
```

Output
Formation energy (no corrections) (eV/atom): -0.42
Fermi-level density of states (states/eV/f.u.): 3.20
Symmetry: No. 63
VASP energy (eV per cell): -65.8

Record 12
Density functional theory data (PBE) for a geometry-optimized In3IrSe structure.

Structure (extended XYZ):
```
5
Lattice="5.167 0.000 0.000 0.000 5.167 0.000 0.000 0.000 5.167" Properties=species:S:1:pos:R:3 pbc="T T T"
In 0.000 0.000 2.583
In 0.000 2.583 0.000
In 2.583 0.000 0.000
Ir 0.000 0.000 0.000
Se 2.583 2.583 2.583
```

Output
Formation energy (no corrections) (eV/atom): -0.09
Fermi-level density of states (states/eV/f.u.): 2.27
Symmetry: No. 221
VASP energy (eV per cell): -21.0
Energy above the most stable polymorph in this dataset (eV/atom): 0.000

Question: The highest VASP energy belongs to which entry?
Answer: TlAgPd2Pt